A relaxed structure of Ti2NbAu2. Source: the Alexandria database, functional GGA-PBE.

**N(E_F)**: 1.56 states/eV per atom
**Formation energy**: -65 kJ/mol of formula units
**Raw total energy**: -6.619 eV per atom
**Magnetic moment**: 0.00 μB/atom

Lattice parameters (Å, degrees): 7.641 7.641 3.054 90.00 90.00 90.00
Fractional coordinates of all 10 atoms:
Ti 0.172 0.328 0.000
Ti 0.328 0.828 0.000
Ti 0.672 0.172 0.000
Ti 0.828 0.672 0.000
Nb 0.000 0.000 0.500
Nb 0.500 0.500 0.500
Au 0.128 0.628 0.500
Au 0.372 0.128 0.500
Au 0.628 0.872 0.500
Au 0.872 0.372 0.500